The following is a PBE-GGA calculation of a relaxed KLaRe2O8 crystal, from Alexandria.

The total DFT energy (no corrections) comes out at -94.518 eV for the cell shown. Its space-group type is No. 147. For the formation energy (no corrections), the calculation gives -1.99 eV/atom.

The structure in CIF format:
```
data_KLaRe2O8
_chemical_formula_sum 'K1 La1 Re2 O8'
_space_group_name_H-M_alt 'P 1'
_space_group_IT_number 1
_space_group_name_Hall 'P 1'
_cell_length_a 6.1412
_cell_length_b 6.1412
_cell_length_c 7.7727
_cell_angle_alpha 90.00
_cell_angle_beta 90.00
_cell_angle_gamma 120.00
loop_
_atom_site_label
_atom_site_type_symbol
_atom_site_fract_x
_atom_site_fract_y
_atom_site_fract_z
K1 K 0.0000 0.0000 0.0000
La1 La 0.0000 0.0000 0.5000
Re1 Re 0.3333 0.6667 0.7786
Re2 Re 0.6667 0.3333 0.2214
O1 O 0.1710 0.3470 0.6977
O2 O 0.1760 0.8290 0.6977
O3 O 0.3333 0.6667 0.0053
O4 O 0.3470 0.1760 0.3023
O5 O 0.6530 0.8240 0.6977
O6 O 0.6667 0.3333 0.9947
O7 O 0.8240 0.1710 0.3023
O8 O 0.8290 0.6530 0.3023
```